A plane-wave DFT calculation with PBE was carried out for a relaxed Sm2Np2O7 crystal.

Calculated values
- Symmetry: Fd-3m
- Total moment: 0.55 μB/atom
- Raw formation energy: -35.3 eV/f.u.

a b c (Å): 7.7345 7.7345 7.7345
angles (deg): 60.00 60.00 60.00
Closest atoms and distances in Å follow each position.
Positions (direct):
Sm: 0.0000 0.0000 0.0000  8 O 2.37-2.54
Sm: 0.0000 0.0000 0.5000  8 O 2.37-2.54
Sm: 0.0000 0.5000 0.0000  8 O 2.37-2.54
Sm: 0.5000 0.0000 0.0000  8 O 2.37-2.54
Np: 0.0000 0.5000 0.5000  6 O 2.22
Np: 0.5000 0.0000 0.5000  6 O 2.22
Np: 0.5000 0.5000 0.0000  6 O 2.22
Np: 0.5000 0.5000 0.5000  6 O 2.22
O: 0.1250 0.1250 0.1250  4 Sm 2.37
O: 0.1504 0.1504 0.5996  2 Np 2.22
O: 0.1504 0.5996 0.1504  2 Np 2.22
O: 0.1504 0.5996 0.5996  2 Np 2.22
O: 0.4004 0.4004 0.8496  2 Np 2.22
O: 0.4004 0.8496 0.4004  2 Np 2.22
O: 0.4004 0.8496 0.8496  2 Np 2.22
O: 0.5996 0.1504 0.1504  2 Np 2.22
O: 0.5996 0.1504 0.5996  2 Np 2.22
O: 0.5996 0.5996 0.1504  2 Np 2.22
O: 0.8496 0.4004 0.4004  2 Np 2.22
O: 0.8496 0.4004 0.8496  2 Np 2.22
O: 0.8496 0.8496 0.4004  2 Np 2.22
O: 0.8750 0.8750 0.8750  4 Sm 2.37


A plane-wave DFT calculation with PBE was carried out for a relaxed Th6IrRh2Se3 crystal.

Calculated values
- Symmetry: C2/m
- Total moment: 0.00 μB/atom
- Raw formation energy: -15.0 eV/f.u.

a b c (Å): 7.1364 7.1364 7.7144
angles (deg): 98.88 98.88 119.99
Closest atoms and distances in Å follow each position.
Positions (direct):
Th: 0.0731 0.4056 0.2193  1 Ir 2.87, 2 Rh 2.88, 3 Se 3.14-3.15
Th: 0.2592 0.2592 0.7805  1 Ir 2.87, 2 Rh 2.87, 3 Se 3.15
Th: 0.4056 0.0731 0.2193  1 Ir 2.87, 2 Rh 2.88, 3 Se 3.14-3.15
Th: 0.5944 0.9269 0.7807  1 Ir 2.87, 2 Rh 2.88, 3 Se 3.14-3.15
Th: 0.7408 0.7408 0.2195  1 Ir 2.87, 2 Rh 2.87, 3 Se 3.15
Th: 0.9269 0.5944 0.7807  1 Ir 2.87, 2 Rh 2.88, 3 Se 3.14-3.15
Ir: 0.0000 0.0000 0.0000  6 Th 2.87
Rh: 0.3334 0.6666 0.0000  6 Th 2.87-2.88
Rh: 0.6666 0.3334 0.0000  6 Th 2.87-2.88
Se: 0.1671 0.8329 0.5000  6 Th 3.14-3.15
Se: 0.5000 0.5000 0.5000  6 Th 3.14-3.15
Se: 0.8329 0.1671 0.5000  6 Th 3.14-3.15